Computed, not measured: MnTl2TeO4 after structural relaxation at the PBE with a Hubbard U level of DFT.

Total magnetic moment in μB/f.u.: 3.835
Energy in eV/atom: -5.2087

Lattice parameters (Å, degrees): 6.9760 6.9760 7.7291 118.88 118.88 80.11
Last column: nearest neighbours and their distance in Å.
Positions (direct):
Mn 0.0000 0.0000 0.0000  4 O 1.94
Mn 0.0000 0.0000 0.5000  4 O 1.94
Tl 0.0000 0.5000 0.0000  4 O 2.67-2.97
Tl 0.5000 0.0000 0.5000  4 O 2.67-2.97
Tl 0.5000 0.5000 0.0000  4 O 2.79-2.80
Tl 0.5000 0.5000 0.5000  4 O 2.79-2.80
Te 0.0000 0.5000 0.5000  4 O 2.11-2.14
Te 0.5000 0.0000 0.0000  4 O 2.11-2.14
O 0.1125 0.7127 0.4344  1 Mn 1.94, 1 Te 2.14
O 0.1232 0.2308 0.3069  1 Mn 1.94, 1 Te 2.11
O 0.2308 0.1232 0.8069  1 Mn 1.94, 1 Te 2.11
O 0.2873 0.8875 0.0656  1 Mn 1.94, 1 Te 2.14
O 0.7127 0.1125 0.9344  1 Mn 1.94, 1 Te 2.14
O 0.7692 0.8768 0.1931  1 Mn 1.94, 1 Te 2.11
O 0.8768 0.7692 0.6931  1 Mn 1.94, 1 Te 2.11
O 0.8875 0.2873 0.5656  1 Mn 1.94, 1 Te 2.14